Entry from OQMD: a relaxed TbTm3B2Pb2 crystal (PBE).

**Crystal system**: trigonal
**Volume**: 23.97 Å³ per atom
**Uncorrected energy**: -0.373 Ry per atom

Cell: 3.659 3.659 16.541 Å, 90.00 90.00 120.00°
Fractional positions:
Tb: 0.333 0.667 0.089
B: 0.000 0.000 0.997
B: 0.000 0.000 0.501
Tm: 0.667 0.333 0.588
Tm: 0.667 0.333 0.909
Tm: 0.333 0.667 0.413
Pb: 0.667 0.333 0.253
Pb: 0.333 0.667 0.749

=====

Entry from OQMD: a relaxed TcBPb crystal (PBE).

**Crystal system**: cubic
**Volume**: 15.88 Å³ per atom
**Energy above the most stable polymorph in this dataset**: 0.000 eV/f.u.

Cell: 4.069 4.069 4.069 Å, 60.00 60.00 60.00°
Fractional positions:
Tc: 0.750 0.750 0.750
Pb: 0.250 0.250 0.250
B: 0.000 0.000 0.000

=====

Entry from OQMD: a relaxed ThBPb crystal (PBE).

**Crystal system**: cubic
**Volume**: 27.76 Å³ per atom
**Energy above the most stable polymorph in this dataset**: 2.880 eV/f.u.

Cell: 4.902 4.902 4.902 Å, 60.00 60.00 60.00°
Fractional positions:
B: 0.250 0.250 0.250
Pb: 0.000 0.000 0.000
Th: 0.750 0.750 0.750

=====

Entry from OQMD: a relaxed ThB4Pb crystal (PBE).

**Crystal system**: orthorhombic
**Volume**: 13.37 Å³ per atom
**Energy above the most stable polymorph in this dataset**: 0.000 eV/f.u.

Cell: 5.503 5.503 5.503 Å, 145.55 120.13 70.94°
Fractional positions:
B: 0.438 0.760 0.678
B: 0.562 0.240 0.322
B: 0.918 0.240 0.678
B: 0.082 0.760 0.322
Th: 0.500 0.500 0.000
Pb: 0.000 0.000 0.000